{"formula": "LaPb", "functional": "SCAN", "state": "single point on PBEsol structure", "lattice_angstrom": [[-2.345, 2.352, 5.507], [2.345, -2.352, 5.507], [2.345, 2.352, -5.507]], "species": ["La", "La", "Pb", "Pb"], "fractional_positions": [[0.375, 0.125, 0.250], [0.625, 0.875, 0.750], [0.125, 0.375, 0.750], [0.875, 0.625, 0.250]], "formation_energy_ev_per_atom": -0.809, "spacegroup": "Imma", "volume_a3_per_atom": 30.37}